Density functional theory data (PBE) for crystalline MnAl2Co2 at its relaxed geometry.

Output
The energy of formation comes out at -0.0389 eV/atom. The size of the total moment is 0.000 μB per atom. The calculation puts the offset from the most stable computed form at 0.0360 eV per atom.

Cell lengths 6.7520, 6.7520, 2.6664 Å; angles 90.00, 90.00, 90.00 degrees
Sites, in units of the cell vectors:
Mn1 0.0000 0.0000 0.0000
Mn2 0.5000 0.5000 0.0000
Al1 0.1703 0.3297 0.5000
Al2 0.3297 0.8297 0.5000
Al3 0.6703 0.1703 0.5000
Al4 0.8297 0.6703 0.5000
Co1 0.1282 0.6282 0.0000
Co2 0.3718 0.1282 0.0000
Co3 0.6282 0.8718 0.0000
Co4 0.8718 0.3718 0.0000

---

Density functional theory data (PBE) for crystalline MnAlCo2 at its relaxed geometry.

Output
The energy of formation comes out at -0.1544 eV/atom. The size of the total moment is 1.338 μB per atom.

Cell lengths 8.9360, 2.9039, 4.1556 Å; angles 90.00, 117.43, 90.00 degrees
Sites, in units of the cell vectors:
Mn1 0.0000 0.0000 0.0000
Mn2 0.5000 0.5000 0.0000
Al1 0.0000 0.5000 0.5000
Al2 0.5000 0.0000 0.5000
Co1 0.2456 0.5000 0.2455
Co2 0.2544 0.0000 0.7545
Co3 0.7456 0.0000 0.2455
Co4 0.7544 0.5000 0.7545

---

Density functional theory data (PBE) for crystalline MnAlCo2 at its relaxed geometry.

Output
The energy of formation comes out at -0.1499 eV/atom. The size of the total moment is 1.319 μB per atom.

Cell lengths 5.7515, 5.7515, 5.7515 Å; angles 90.00, 90.00, 90.00 degrees
Sites, in units of the cell vectors:
Mn1 0.0000 0.0000 0.0000
Mn2 0.0000 0.5000 0.5000
Mn3 0.5000 0.0000 0.5000
Mn4 0.5000 0.5000 0.0000
Al1 0.2500 0.2500 0.7500
Al2 0.2500 0.7500 0.2500
Al3 0.7500 0.2500 0.2500
Al4 0.7500 0.7500 0.7500
Co1 0.0000 0.0000 0.5000
Co2 0.0000 0.5000 0.0000
Co3 0.2500 0.2500 0.2500
Co4 0.2500 0.7500 0.7500
Co5 0.5000 0.0000 0.0000
Co6 0.5000 0.5000 0.5000
Co7 0.7500 0.2500 0.7500
Co8 0.7500 0.7500 0.2500

---

Density functional theory data (PBE) for crystalline MnAlCo at its relaxed geometry.

Output
The energy of formation comes out at 0.0806 eV/atom. The size of the total moment is 0.340 μB per atom.

Cell lengths 5.4595, 5.4595, 5.4595 Å; angles 90.00, 90.00, 90.00 degrees
Sites, in units of the cell vectors:
Mn1 0.0000 0.0000 0.0000
Mn2 0.0000 0.5000 0.5000
Mn3 0.5000 0.0000 0.5000
Mn4 0.5000 0.5000 0.0000
Al1 0.0000 0.0000 0.5000
Al2 0.0000 0.5000 0.0000
Al3 0.5000 0.0000 0.0000
Al4 0.5000 0.5000 0.5000
Co1 0.2500 0.2500 0.7500
Co2 0.2500 0.7500 0.2500
Co3 0.7500 0.2500 0.2500
Co4 0.7500 0.7500 0.7500

---

size of the total moment of number 3 (MnAlCo2)? 1.319 μB per atom

---

size of the total moment of number 1 (MnAl2Co2)? 0.000 μB per atom

---

Which value of energy of formation does entry 2 give? -0.1544 eV/atom

---

The lowest energy of formation belongs to which entry? number 2